First-principles (PBE-GGA) data for an optimized crystal structure of K2CrSiTe4, as listed in Alexandria via LeMat-Bulk.

a b c (Å): 8.764 8.764 8.770
angles (deg): 120.02 120.02 89.61
Site moments in Bohr magnetons follow the coordinates.
Fractional coordinates of all 16 atoms:
K1 0.500 0.000 0.000  -0.01
K2 0.500 0.000 0.500  -0.01
K3 0.000 0.000 0.500  -0.01
K4 0.500 0.500 0.000  -0.01
Cr1 0.000 0.500 0.000  2.95
Cr2 0.000 0.500 0.500  2.95
Si1 0.500 0.500 0.500  -0.07
Si2 0.000 0.000 0.000  -0.07
Te1 0.186 0.722 0.954  -0.16
Te2 0.778 0.314 0.546  -0.16
Te3 0.222 0.686 0.454  -0.16
Te4 0.814 0.278 0.046  -0.16
Te5 0.775 0.725 0.967  -0.12
Te6 0.775 0.725 0.533  -0.12
Te7 0.225 0.275 0.467  -0.12
Te8 0.225 0.275 0.033  -0.12

- Spin magnetization: 0.265 μB per atom
- Electronic total energy: -4.085 eV/atom
- Uncorrected formation energy: -0.359 eV per atom